Entry from the Alexandria database: GdHoTc4 after structural relaxation (PBE-GGA).

Unit cell a=7.6517 b=7.6517 c=7.6517 alpha=90.00 beta=90.00 gamma=90.00
Last column: nearest neighbours and their distance in Å.
Space group F-43m (No. 216)
Asymmetric unit:
Gd  0.0000  0.0000  0.0000 (multiplicity 4)  12 Tc 3.17, 4 Ho 3.31
Ho  0.2500  0.2500  0.2500 (multiplicity 4)  12 Tc 3.17, 4 Gd 3.31
Tc  0.1249  0.1249  0.6249 (multiplicity 16)  6 Tc 2.70-2.71

Computed properties:
The calculation puts the formation energy at -0.12 eV per atom. The density of states at the Fermi level is 1.319 states/eV/atom.